No. 1
The following is a PBE calculation of an optimized crystal structure of ScGaIr2Ru, from Alexandria via LeMat-Bulk.

The space group is P4/mmm (123). The value obtained for the magnetization is 1.837 μB per formula unit. For the energy of formation from the pure elements, the calculation gives 22.011 kcal/mol of atoms.

a b c (Å): 4.478 4.771 4.478
angles (deg): 90.00 90.00 90.00
Atoms (fractional coordinates):
Sc: 0.000 0.500 0.000
Ru: 0.500 0.500 0.500
Ir: 0.000 0.000 0.500
Ir: 0.500 0.000 0.000
Ga: 0.000 0.000 0.000

---

No. 2
The following is a PBE calculation of an optimized crystal structure of SmGa4Ir2Ru, from Alexandria via LeMat-Bulk.

The space group is R-3m (166). The value obtained for the magnetization is 0.000 μB per formula unit. For the energy of formation from the pure elements, the calculation gives -12.576 kcal/mol of atoms.

a b c (Å): 4.260 4.260 8.971
angles (deg): 76.27 76.27 60.00
Atoms (fractional coordinates):
Sm: 0.000 0.000 0.000
Ga: 0.401 0.401 0.797
Ga: 0.868 0.868 0.397
Ga: 0.132 0.132 0.603
Ga: 0.599 0.599 0.203
Ir: 0.761 0.761 0.716
Ir: 0.239 0.239 0.284
Ru: 0.500 0.500 0.500

---

No. 3
The following is a PBE calculation of an optimized crystal structure of SmGa4IrRu2, from Alexandria via LeMat-Bulk.

The space group is R-3m (166). The value obtained for the magnetization is 0.000 μB per formula unit. For the energy of formation from the pure elements, the calculation gives -10.062 kcal/mol of atoms.

a b c (Å): 4.267 4.267 8.974
angles (deg): 76.25 76.25 60.00
Atoms (fractional coordinates):
Sm: 0.000 0.000 0.000
Ga: 0.401 0.401 0.797
Ga: 0.869 0.869 0.392
Ga: 0.131 0.131 0.608
Ga: 0.599 0.599 0.203
Ir: 0.500 0.500 0.500
Ru: 0.764 0.764 0.708
Ru: 0.236 0.236 0.292

---

No. 4
The following is a PBE calculation of an optimized crystal structure of SmGa2IrRu, from Alexandria via LeMat-Bulk.

The space group is I-4m2 (119). The value obtained for the magnetization is 0.000 μB per formula unit. For the energy of formation from the pure elements, the calculation gives -13.159 kcal/mol of atoms.

a b c (Å): 4.377 4.377 5.751
angles (deg): 112.37 112.37 90.00
Atoms (fractional coordinates):
Sm: 0.000 0.000 0.000
Ga: 0.631 0.631 0.263
Ga: 0.369 0.369 0.737
Ir: 0.750 0.250 0.500
Ru: 0.250 0.750 0.500

---

Short version: total DFT energy (no corrections) = -6.317 -6.023 -5.966 -6.353 eV/atom, in the order given.